1.
Entry from OQMD: a relaxed structure of LuAlFeAu (PBE).

Properties
**Space group**: F-43m (216)
**Energy relative to the lowest polymorph listed for this composition**: 0.138 eV per atom

Cell and atoms, written as POSCAR:
```
LuAlFeAu
1.0
2.825 -3.505 -1.228
1.094 -3.311 3.101
-1.711 -4.313 -0.491
Lu Fe Al Au
1 1 1 1
Direct
0.250 0.250 0.250
0.750 0.750 0.750
0.000 0.000 0.000
0.500 0.500 0.500
```

***

2.
Entry from OQMD: a relaxed structure of LuAlFeAu (PBE).

Properties
**Space group**: F-43m (216)
**Energy relative to the lowest polymorph listed for this composition**: 0.000 eV per atom

Cell and atoms, written as POSCAR:
```
LuAlFeAu
1.0
2.529 -1.848 3.373
-1.974 -2.765 3.106
0.920 -4.510 -0.020
Lu Au Al Fe
1 1 1 1
Direct
0.500 0.500 0.500
0.250 0.250 0.250
0.000 0.000 0.000
0.750 0.750 0.750
```

***

3.
Entry from OQMD: a relaxed structure of NbAlFeAu (PBE).

Properties
**Space group**: F-43m (216)
**Energy relative to the lowest polymorph listed for this composition**: 0.127 eV per atom

Cell and atoms, written as POSCAR:
```
NbAlFeAu
1.0
1.065 -2.596 3.480
-1.027 1.297 4.153
-3.213 -2.120 2.274
Au Nb Al Fe
1 1 1 1
Direct
0.500 0.500 0.500
0.250 0.250 0.250
0.000 0.000 0.000
0.750 0.750 0.750
```

***

4.
Entry from OQMD: a relaxed structure of NbAlFeAu (PBE).

Properties
**Space group**: F-43m (216)
**Energy relative to the lowest polymorph listed for this composition**: 0.000 eV per atom

Cell and atoms, written as POSCAR:
```
NbAlFeAu
1.0
0.000 3.156 3.156
3.156 0.000 3.156
3.156 3.156 0.000
Fe Nb Au Al
1 1 1 1
Direct
0.750 0.750 0.750
0.500 0.500 0.500
0.250 0.250 0.250
0.000 0.000 0.000
```

***

5.
Entry from OQMD: a relaxed structure of AlFeNiAu (PBE).

Properties
**Space group**: F-43m (216)
**Energy relative to the lowest polymorph listed for this composition**: 0.000 eV per atom

Cell and atoms, written as POSCAR:
```
AlFeNiAu
1.0
0.000 3.011 3.011
3.011 0.000 3.011
3.011 3.011 0.000
Fe Ni Au Al
1 1 1 1
Direct
0.750 0.750 0.750
0.500 0.500 0.500
0.250 0.250 0.250
0.000 0.000 0.000
```

***

6.
Entry from OQMD: a relaxed structure of AlFeNiAu (PBE).

Properties
**Space group**: F-43m (216)
**Energy relative to the lowest polymorph listed for this composition**: 0.019 eV per atom

Cell and atoms, written as POSCAR:
```
AlFeNiAu
1.0
-1.169 -2.054 3.543
-2.241 2.031 2.999
-4.093 -0.989 0.636
Au Fe Ni Al
1 1 1 1
Direct
0.500 0.500 0.500
0.750 0.750 0.750
0.250 0.250 0.250
0.000 0.000 0.000
```

***

7.
Entry from OQMD: a relaxed structure of AlFePdAu (PBE).

Properties
**Space group**: F-43m (216)
**Energy relative to the lowest polymorph listed for this composition**: 0.000 eV per atom

Cell and atoms, written as POSCAR:
```
AlFePdAu
1.0
3.271 0.660 2.863
-0.763 -0.306 4.319
1.635 -3.381 2.287
Al Fe Pd Au
1 1 1 1
Direct
0.000 0.000 0.000
0.750 0.750 0.750
0.250 0.250 0.250
0.500 0.500 0.500
```

***

8.
Entry from OQMD: a relaxed structure of AlFePtAu (PBE).

Properties
**Space group**: F-43m (216)
**Energy relative to the lowest polymorph listed for this composition**: 0.000 eV per atom

Cell and atoms, written as POSCAR:
```
AlFePtAu
1.0
0.000 3.119 3.119
3.119 0.000 3.119
3.119 3.119 0.000
Au Al Fe Pt
1 1 1 1
Direct
0.500 0.500 0.500
0.000 0.000 0.000
0.750 0.750 0.750
0.250 0.250 0.250
```

***

> Which formula does entry 5 have?

AlFeNiAu